(1)
CaCS2N: optimized geometry, GGA-PBE.

Properties
ΔE_f (raw) = 0.273 eV/atom
raw total energy = -5.29 eV per atom
crystal system = tetragonal
calculated volume = 15.00 A^3/atom
symmetry = P4/mmm (123)
M_tot = 0.0 μB/cell

Cell: 5.4260 5.4260 2.5481 Å, 90.00 90.00 90.00°
Fractional coordinates of all 5 atoms:
Ca 0.0000 0.0000 0.0000
C 0.5000 0.5000 0.5000
S 0.0000 0.5000 0.5000
S 0.5000 0.0000 0.5000
N 0.5000 0.5000 0.0000

=====

(2)
Mo2PdRh7: optimized geometry, GGA-PBE.

Properties
raw total energy = -7.45 eV per atom
crystal system = orthorhombic
calculated volume = 16.63 A^3/atom
energy relative to the elements = 0.382 eV/atom
symmetry = Cmmm (65)
M_tot = 0.0 μB/cell

Cell: 8.5987 8.5987 2.6947 Å, 90.00 90.00 123.39°
Fractional coordinates of all 10 atoms:
Mo 0.1746 0.8254 0.0000
Mo 0.8254 0.1746 0.0000
Pd 0.5000 0.5000 0.5000
Rh 0.0000 0.0000 0.0000
Rh 0.1644 0.3639 0.0000
Rh 0.3185 0.6815 0.5000
Rh 0.3639 0.1644 0.0000
Rh 0.6361 0.8356 0.0000
Rh 0.6815 0.3185 0.5000
Rh 0.8356 0.6361 0.0000

=====

(3)
Li2HoMgSn2: optimized geometry, GGA-PBE.

Properties
raw total energy = -3.49 eV per atom
crystal system = trigonal
calculated volume = 21.64 A^3/atom
energy relative to the elements = -0.488 eV/atom
symmetry = P-3m1 (164)
M_tot = 0.0 μB/cell

Cell: 4.6841 4.6841 6.8346 Å, 90.00 90.00 120.00°
Fractional coordinates of all 6 atoms:
Li 0.3333 0.6667 0.1906
Li 0.6667 0.3333 0.8094
Ho 0.0000 0.0000 0.5000
Mg 0.0000 0.0000 0.0000
Sn 0.3333 0.6667 0.7404
Sn 0.6667 0.3333 0.2596